[1]
VASP calculation (PBE) on a relaxed structure of NpWSe4.

Lattice parameters (Å, degrees): 7.472 7.472 7.472 105.38 105.38 118.00
Fractional positions:
Np  0.000  0.000  0.000
Np  0.750  0.250  0.500
W  0.244  0.744  0.500
W  0.494  0.494  0.000
Se  0.222  0.516  0.706
Se  0.266  0.059  0.794
Se  0.266  0.472  0.206
Se  0.279  0.974  0.305
Se  0.669  0.974  0.695
Se  0.724  0.529  0.805
Se  0.724  0.919  0.195
Se  0.809  0.516  0.294

***

[2]
VASP calculation (PBE) on a relaxed structure of YNpSe2.

Lattice parameters (Å, degrees): 4.093 4.093 20.069 90.00 90.00 120.00
Fractional positions:
Y  0.000  0.000  0.000
Y  0.333  0.667  0.667
Y  0.667  0.333  0.333
Np  0.000  0.000  0.500
Np  0.333  0.667  0.167
Np  0.667  0.333  0.833
Se  0.000  0.000  0.251
Se  0.000  0.000  0.749
Se  0.333  0.667  0.416
Se  0.333  0.667  0.917
Se  0.667  0.333  0.083
Se  0.667  0.333  0.584

***

[3]
VASP calculation (PBE) on a relaxed structure of Y6NpSe8.

Lattice parameters (Å, degrees): 8.155 8.155 8.155 60.00 60.00 60.00
Fractional positions:
Y  0.000  0.000  0.500
Y  0.000  0.500  0.000
Y  0.000  0.500  0.500
Y  0.500  0.000  0.000
Y  0.500  0.000  0.500
Y  0.500  0.500  0.000
Np  0.000  0.000  0.000
Se  0.250  0.250  0.250
Se  0.255  0.255  0.745
Se  0.255  0.745  0.255
Se  0.255  0.745  0.745
Se  0.745  0.255  0.255
Se  0.745  0.255  0.745
Se  0.745  0.745  0.255
Se  0.750  0.750  0.750

***

[4]
VASP calculation (PBE) on a relaxed structure of YNp2Se4.

Lattice parameters (Å, degrees): 7.050 7.050 13.897 90.00 90.00 147.25
Fractional positions:
Y  0.120  0.880  0.750
Y  0.880  0.120  0.250
Np  0.365  0.635  0.568
Np  0.365  0.635  0.932
Np  0.635  0.365  0.068
Np  0.635  0.365  0.432
Se  0.000  0.000  0.000
Se  0.000  0.000  0.500
Se  0.279  0.721  0.126
Se  0.279  0.721  0.374
Se  0.467  0.533  0.750
Se  0.533  0.467  0.250
Se  0.721  0.279  0.626
Se  0.721  0.279  0.874

***

Sequential raw formation energy output: -0.45; -1.43; -1.72; -1.33 eV per atom